# 1
# TbCe3Th2Se6 GGA-PBE optimized geometry
# - Formation energy without anion corrections: -1.72 eV per atom
data_TbCe3Th2Se6
_cell_length_a 7.261
_cell_length_b 12.542
_cell_length_c 7.231
_cell_angle_alpha 90.00
_cell_angle_beta 109.45
_cell_angle_gamma 90.00
_symmetry_space_group_name_H-M 'C 1 2/m 1'
_symmetry_Int_Tables_number 12
loop_
_symmetry_equiv_pos_as_xyz
'x,y,z'
'-x,-y,-z'
'-x,y,-z'
'x,-y,z'
'x+1/2,y+1/2,z'
'-x+1/2,-y+1/2,-z'
'-x+1/2,y+1/2,-z'
'x+1/2,-y+1/2,z'
loop_
_atom_site_label
_atom_site_fract_x
_atom_site_fract_y
_atom_site_fract_z
_atom_site_occupancy
Tb1 0.000 0.000 0.000 1
Ce1 0.000 0.169 0.500 1
Ce2 0.000 0.500 0.500 1
Th1 0.000 0.334 0.000 1
Se1 0.243 0.000 0.750 1
Se2 0.245 0.163 0.247 1

=====

# 2
# TbCe3Tl4Se8 GGA-PBE optimized geometry
# - Formation energy without anion corrections: -1.33 eV per atom
data_TbCe3Tl4Se8
_cell_length_a 8.6246
_cell_length_b 8.6246
_cell_length_c 23.2074
_cell_angle_alpha 90.00
_cell_angle_beta 90.00
_cell_angle_gamma 120.00
_symmetry_space_group_name_H-M 'R -3 m'
_symmetry_Int_Tables_number 166
_symmetry_space_group_name_Hall '-R 3 2"'
loop_
_atom_site_label
_atom_site_fract_x
_atom_site_fract_y
_atom_site_fract_z
_atom_site_occupancy
Tb1 0.0000 0.0000 0.0000 1
Ce1 0.0000 0.5000 0.0000 1
Tl1 0.0000 0.0000 0.5000 1
Tl2 0.0000 0.5000 0.5000 1
Se1 0.0000 0.0000 0.2634 1
Se2 0.0064 0.5032 0.7357 1

=====

# 3
# TbCeTl2Se4 GGA-PBE optimized geometry
# - Formation energy without anion corrections: -1.35 eV per atom
data_TbCeTl2Se4
_cell_length_a 7.411
_cell_length_b 4.278
_cell_length_c 8.129
_cell_angle_alpha 90.00
_cell_angle_beta 107.60
_cell_angle_gamma 90.00
_symmetry_space_group_name_H-M 'P 1 2/m 1'
_symmetry_Int_Tables_number 10
loop_
_symmetry_equiv_pos_as_xyz
'x,y,z'
'-x,-y,-z'
'-x,y,-z'
'x,-y,z'
loop_
_atom_site_label
_atom_site_fract_x
_atom_site_fract_y
_atom_site_fract_z
_atom_site_occupancy
Tb1 0.000 0.000 0.000 1
Ce1 0.500 0.500 0.000 1
Tl1 0.000 0.500 0.500 1
Tl2 0.500 0.000 0.500 1
Se1 0.229 0.500 0.206 1
Se2 0.258 0.000 0.792 1

=====

# 4
# Tb3CeTl3Se8 GGA-PBE optimized geometry
# - Formation energy without anion corrections: -1.43 eV per atom
data_Tb3CeTl3Se8
_cell_length_a 8.3914
_cell_length_b 8.3914
_cell_length_c 23.3885
_cell_angle_alpha 90.00
_cell_angle_beta 90.00
_cell_angle_gamma 120.00
_symmetry_space_group_name_H-M 'R -3 m'
_symmetry_Int_Tables_number 166
_symmetry_space_group_name_Hall '-R 3 2"'
loop_
_atom_site_label
_atom_site_fract_x
_atom_site_fract_y
_atom_site_fract_z
_atom_site_occupancy
Tb1 0.0000 0.5000 0.0000 1
Ce1 0.0000 0.0000 0.0000 1
Tl1 0.0000 0.5000 0.5000 1
Se1 0.0000 0.0000 0.2651 1
Se2 0.0016 0.5008 0.7341 1

=====

# 5
# Tb2CeTl3Se6 GGA-PBE optimized geometry
# - Formation energy without anion corrections: -1.36 eV per atom
data_Tb2CeTl3Se6
_cell_length_a 7.366
_cell_length_b 12.754
_cell_length_c 8.141
_cell_angle_alpha 90.00
_cell_angle_beta 107.54
_cell_angle_gamma 90.00
_symmetry_space_group_name_H-M 'C 1 2/m 1'
_symmetry_Int_Tables_number 12
loop_
_symmetry_equiv_pos_as_xyz
'x,y,z'
'-x,-y,-z'
'-x,y,-z'
'x,-y,z'
'x+1/2,y+1/2,z'
'-x+1/2,-y+1/2,-z'
'-x+1/2,y+1/2,-z'
'x+1/2,-y+1/2,z'
loop_
_atom_site_label
_atom_site_fract_x
_atom_site_fract_y
_atom_site_fract_z
_atom_site_occupancy
Tb1 0.000 0.167 0.000 1
Ce1 0.000 0.500 0.000 1
Tl1 0.000 0.000 0.500 1
Tl2 0.000 0.334 0.500 1
Se1 0.228 0.000 0.205 1
Se2 0.239 0.330 0.207 1

=====

# 6
# Tb2Ce3TmSe6 GGA-PBE optimized geometry
# - Formation energy without anion corrections: -1.79 eV per atom
data_Tb2Ce3TmSe6
_cell_length_a 7.111
_cell_length_b 12.328
_cell_length_c 7.252
_cell_angle_alpha 90.00
_cell_angle_beta 109.12
_cell_angle_gamma 90.00
_symmetry_space_group_name_H-M 'C 1 2/m 1'
_symmetry_Int_Tables_number 12
loop_
_symmetry_equiv_pos_as_xyz
'x,y,z'
'-x,-y,-z'
'-x,y,-z'
'x,-y,z'
'x+1/2,y+1/2,z'
'-x+1/2,-y+1/2,-z'
'-x+1/2,y+1/2,-z'
'x+1/2,-y+1/2,z'
loop_
_atom_site_label
_atom_site_fract_x
_atom_site_fract_y
_atom_site_fract_z
_atom_site_occupancy
Tb1 0.000 0.166 0.000 1
Ce1 0.000 0.000 0.500 1
Ce2 0.000 0.331 0.500 1
Tm1 0.000 0.500 0.000 1
Se1 0.243 0.336 0.237 1
Se2 0.249 0.500 0.761 1

=====

# 7
# TbCe3Tm2Se6 GGA-PBE optimized geometry
# - Formation energy without anion corrections: -1.78 eV per atom
data_TbCe3Tm2Se6
_cell_length_a 7.069
_cell_length_b 12.257
_cell_length_c 7.260
_cell_angle_alpha 90.00
_cell_angle_beta 108.97
_cell_angle_gamma 90.00
_symmetry_space_group_name_H-M 'C 1 2/m 1'
_symmetry_Int_Tables_number 12
loop_
_symmetry_equiv_pos_as_xyz
'x,y,z'
'-x,-y,-z'
'-x,y,-z'
'x,-y,z'
'x+1/2,y+1/2,z'
'-x+1/2,-y+1/2,-z'
'-x+1/2,y+1/2,-z'
'x+1/2,-y+1/2,z'
loop_
_atom_site_label
_atom_site_fract_x
_atom_site_fract_y
_atom_site_fract_z
_atom_site_occupancy
Tb1 0.000 0.000 0.000 1
Ce1 0.000 0.164 0.500 1
Ce2 0.000 0.500 0.500 1
Tm1 0.000 0.333 0.000 1
Se1 0.240 0.500 0.233 1
Se2 0.247 0.169 0.236 1

=====

# 8
# Tb3Ce2TmSe6 GGA-PBE optimized geometry
# - Formation energy without anion corrections: -1.78 eV per atom
data_Tb3Ce2TmSe6
_cell_length_a 17.965
_cell_length_b 4.095
_cell_length_c 8.293
_cell_angle_alpha 90.00
_cell_angle_beta 103.59
_cell_angle_gamma 90.00
_symmetry_space_group_name_H-M 'C 1 2/m 1'
_symmetry_Int_Tables_number 12
loop_
_symmetry_equiv_pos_as_xyz
'x,y,z'
'-x,-y,-z'
'-x,y,-z'
'x,-y,z'
'x+1/2,y+1/2,z'
'-x+1/2,-y+1/2,-z'
'-x+1/2,y+1/2,-z'
'x+1/2,-y+1/2,z'
loop_
_atom_site_label
_atom_site_fract_x
_atom_site_fract_y
_atom_site_fract_z
_atom_site_occupancy
Tb1 0.000 0.000 0.000 1
Tb2 0.169 0.500 0.333 1
Ce1 0.168 0.500 0.837 1
Tm1 0.000 0.000 0.500 1
Se1 0.003 0.500 0.257 1
Se2 0.164 0.000 0.090 1
Se3 0.164 0.000 0.576 1

=====

# 9
# TbCeTm2Se4 GGA-PBE optimized geometry
# - Formation energy without anion corrections: -1.74 eV per atom
data_TbCeTm2Se4
_cell_length_a 7.032
_cell_length_b 4.033
_cell_length_c 7.169
_cell_angle_alpha 90.00
_cell_angle_beta 108.82
_cell_angle_gamma 90.00
_symmetry_space_group_name_H-M 'P 1 2/m 1'
_symmetry_Int_Tables_number 10
loop_
_symmetry_equiv_pos_as_xyz
'x,y,z'
'-x,-y,-z'
'-x,y,-z'
'x,-y,z'
loop_
_atom_site_label
_atom_site_fract_x
_atom_site_fract_y
_atom_site_fract_z
_atom_site_occupancy
Tb1 0.000 0.000 0.000 1
Ce1 0.500 0.500 0.000 1
Tm1 0.000 0.500 0.500 1
Tm2 0.500 0.000 0.500 1
Se1 0.241 0.000 0.736 1
Se2 0.250 0.500 0.261 1

=====

# 10
# Tb2CeTmSe6 GGA-PBE optimized geometry
# - Formation energy without anion corrections: -1.82 eV per atom
data_Tb2CeTmSe6
_cell_length_a 7.2807
_cell_length_b 7.2807
_cell_length_c 19.5385
_cell_angle_alpha 90.00
_cell_angle_beta 90.00
_cell_angle_gamma 120.00
_symmetry_space_group_name_H-M 'R 3'
_symmetry_Int_Tables_number 146
_symmetry_space_group_name_Hall 'R 3'
loop_
_atom_site_label
_atom_site_fract_x
_atom_site_fract_y
_atom_site_fract_z
_atom_site_occupancy
Tb1 0.0000 0.0000 0.0000 1
Tb2 0.0000 0.0000 0.4963 1
Ce1 0.0000 0.0000 0.1986 1
Tm1 0.0000 0.0000 0.6935 1
Se1 0.0146 0.7110 0.5969 1
Se2 0.0267 0.3551 0.7623 1

=====

# 11
# Tb3CeTm2Se6 GGA-PBE optimized geometry
# - Formation energy without anion corrections: -1.75 eV per atom
data_Tb3CeTm2Se6
_cell_length_a 17.806
_cell_length_b 4.063
_cell_length_c 8.231
_cell_angle_alpha 90.00
_cell_angle_beta 103.13
_cell_angle_gamma 90.00
_symmetry_space_group_name_H-M 'C 1 2/m 1'
_symmetry_Int_Tables_number 12
loop_
_symmetry_equiv_pos_as_xyz
'x,y,z'
'-x,-y,-z'
'-x,y,-z'
'x,-y,z'
'x+1/2,y+1/2,z'
'-x+1/2,-y+1/2,-z'
'-x+1/2,y+1/2,-z'
'x+1/2,-y+1/2,z'
loop_
_atom_site_label
_atom_site_fract_x
_atom_site_fract_y
_atom_site_fract_z
_atom_site_occupancy
Tb1 0.000 0.000 0.000 1
Tb2 0.162 0.500 0.334 1
Ce1 0.000 0.000 0.500 1
Tm1 0.164 0.500 0.828 1
Se1 0.003 0.500 0.758 1
Se2 0.170 0.000 0.079 1
Se3 0.171 0.000 0.591 1

=====

# 12
# Tb4CeTm3Se8 GGA-PBE optimized geometry
# - Formation energy without anion corrections: -1.74 eV per atom
data_Tb4CeTm3Se8
_cell_length_a 8.1583
_cell_length_b 8.1583
_cell_length_c 19.9729
_cell_angle_alpha 90.00
_cell_angle_beta 90.00
_cell_angle_gamma 120.00
_symmetry_space_group_name_H-M 'R -3 m'
_symmetry_Int_Tables_number 166
_symmetry_space_group_name_Hall '-R 3 2"'
loop_
_atom_site_label
_atom_site_fract_x
_atom_site_fract_y
_atom_site_fract_z
_atom_site_occupancy
Tb1 0.0000 0.0000 0.0000 1
Tb2 0.0000 0.5000 0.0000 1
Ce1 0.0000 0.0000 0.5000 1
Tm1 0.0000 0.5000 0.5000 1
Se1 0.0000 0.0000 0.2474 1
Se2 0.0069 0.5034 0.7509 1

=====

# 13
# Tb2CeTmSe4 GGA-PBE optimized geometry
# - Formation energy without anion corrections: -1.76 eV per atom
data_Tb2CeTmSe4
_cell_length_a 7.086
_cell_length_b 4.067
_cell_length_c 7.166
_cell_angle_alpha 90.00
_cell_angle_beta 109.00
_cell_angle_gamma 90.00
_symmetry_space_group_name_H-M 'P 1 2/m 1'
_symmetry_Int_Tables_number 10
loop_
_symmetry_equiv_pos_as_xyz
'x,y,z'
'-x,-y,-z'
'-x,y,-z'
'x,-y,z'
loop_
_atom_site_label
_atom_site_fract_x
_atom_site_fract_y
_atom_site_fract_z
_atom_site_occupancy
Tb1 0.000 0.000 0.000 1
Tb2 0.000 0.500 0.500 1
Ce1 0.500 0.000 0.500 1
Tm1 0.500 0.500 0.000 1
Se1 0.247 0.500 0.241 1
Se2 0.252 0.000 0.758 1

=====

# 14
# TbCe2TmSe5 GGA-PBE optimized geometry
# - Formation energy without anion corrections: -1.33 eV per atom
data_TbCe2TmSe5
_cell_length_a 5.084
_cell_length_b 5.084
_cell_length_c 10.763
_cell_angle_alpha 90.00
_cell_angle_beta 90.00
_cell_angle_gamma 90.00
_symmetry_space_group_name_H-M 'P 4/m m m'
_symmetry_Int_Tables_number 123
_symmetry_space_group_name_Hall '-P 4 2'
loop_
_atom_site_label
_atom_site_fract_x
_atom_site_fract_y
_atom_site_fract_z
_atom_site_occupancy
Tb1 0.000 0.000 0.000 1
Ce1 0.500 0.500 0.302 1
Tm1 0.000 0.000 0.500 1
Se1 0.000 0.000 0.246 1
Se2 0.000 0.500 0.500 1
Se3 0.500 0.500 0.000 1

=====

# 15
# TbCe2TmSe4 GGA-PBE optimized geometry
# - Formation energy without anion corrections: -1.78 eV per atom
data_TbCe2TmSe4
_cell_length_a 7.100
_cell_length_b 4.084
_cell_length_c 7.267
_cell_angle_alpha 90.00
_cell_angle_beta 108.87
_cell_angle_gamma 90.00
_symmetry_space_group_name_H-M 'P 1 2/m 1'
_symmetry_Int_Tables_number 10
loop_
_symmetry_equiv_pos_as_xyz
'x,y,z'
'-x,-y,-z'
'-x,y,-z'
'x,-y,z'
loop_
_atom_site_label
_atom_site_fract_x
_atom_site_fract_y
_atom_site_fract_z
_atom_site_occupancy
Tb1 0.000 0.000 0.000 1
Ce1 0.000 0.500 0.500 1
Ce2 0.500 0.000 0.500 1
Tm1 0.500 0.500 0.000 1
Se1 0.249 0.500 0.237 1
Se2 0.259 0.000 0.765 1

=====

# 16
# TbCe2YSe4 GGA-PBE optimized geometry
# - Formation energy without anion corrections: -1.81 eV per atom
data_TbCe2YSe4
_cell_length_a 7.145
_cell_length_b 4.112
_cell_length_c 7.269
_cell_angle_alpha 90.00
_cell_angle_beta 109.01
_cell_angle_gamma 90.00
_symmetry_space_group_name_H-M 'P 1 2/m 1'
_symmetry_Int_Tables_number 10
loop_
_symmetry_equiv_pos_as_xyz
'x,y,z'
'-x,-y,-z'
'-x,y,-z'
'x,-y,z'
loop_
_atom_site_label
_atom_site_fract_x
_atom_site_fract_y
_atom_site_fract_z
_atom_site_occupancy
Tb1 0.000 0.000 0.000 1
Ce1 0.000 0.500 0.500 1
Ce2 0.500 0.000 0.500 1
Y1 0.500 0.500 0.000 1
Se1 0.247 0.500 0.240 1
Se2 0.254 0.000 0.761 1

=====

# 17
# Tb2CeYSe4 GGA-PBE optimized geometry
# - Formation energy without anion corrections: -1.79 eV per atom
data_Tb2CeYSe4
_cell_length_a 7.143
_cell_length_b 4.091
_cell_length_c 7.162
_cell_angle_alpha 90.00
_cell_angle_beta 109.08
_cell_angle_gamma 90.00
_symmetry_space_group_name_H-M 'P 1 2/m 1'
_symmetry_Int_Tables_number 10
loop_
_symmetry_equiv_pos_as_xyz
'x,y,z'
'-x,-y,-z'
'-x,y,-z'
'x,-y,z'
loop_
_atom_site_label
_atom_site_fract_x
_atom_site_fract_y
_atom_site_fract_z
_atom_site_occupancy
Tb1 0.000 0.000 0.000 1
Tb2 0.000 0.500 0.500 1
Ce1 0.500 0.000 0.500 1
Y1 0.500 0.500 0.000 1
Se1 0.244 0.500 0.243 1
Se2 0.248 0.000 0.753 1

=====

# 18
# TbCeY2Se4 GGA-PBE optimized geometry
# - Formation energy without anion corrections: -1.79 eV per atom
data_TbCeY2Se4
_cell_length_a 7.141
_cell_length_b 4.088
_cell_length_c 7.158
_cell_angle_alpha 90.00
_cell_angle_beta 109.07
_cell_angle_gamma 90.00
_symmetry_space_group_name_H-M 'P 1 2/m 1'
_symmetry_Int_Tables_number 10
loop_
_symmetry_equiv_pos_as_xyz
'x,y,z'
'-x,-y,-z'
'-x,y,-z'
'x,-y,z'
loop_
_atom_site_label
_atom_site_fract_x
_atom_site_fract_y
_atom_site_fract_z
_atom_site_occupancy
Tb1 0.000 0.000 0.000 1
Ce1 0.500 0.500 0.000 1
Y1 0.000 0.500 0.500 1
Y2 0.500 0.000 0.500 1
Se1 0.243 0.000 0.743 1
Se2 0.247 0.500 0.254 1

=====

# 19
# TbCe3Y2Se6 GGA-PBE optimized geometry
# - Formation energy without anion corrections: -1.81 eV per atom
data_TbCe3Y2Se6
_cell_length_a 7.133
_cell_length_b 12.367
_cell_length_c 7.261
_cell_angle_alpha 90.00
_cell_angle_beta 109.15
_cell_angle_gamma 90.00
_symmetry_space_group_name_H-M 'C 1 2/m 1'
_symmetry_Int_Tables_number 12
loop_
_symmetry_equiv_pos_as_xyz
'x,y,z'
'-x,-y,-z'
'-x,y,-z'
'x,-y,z'
'x+1/2,y+1/2,z'
'-x+1/2,-y+1/2,-z'
'-x+1/2,y+1/2,-z'
'x+1/2,-y+1/2,z'
loop_
_atom_site_label
_atom_site_fract_x
_atom_site_fract_y
_atom_site_fract_z
_atom_site_occupancy
Tb1 0.000 0.000 0.000 1
Ce1 0.000 0.166 0.500 1
Ce2 0.000 0.500 0.500 1
Y1 0.000 0.333 0.000 1
Se1 0.246 0.500 0.239 1
Se2 0.247 0.167 0.239 1

=====

# 20
# Tb2CeYSe6 GGA-PBE optimized geometry
# - Formation energy without anion corrections: -1.83 eV per atom
data_Tb2CeYSe6
_cell_length_a 7.3093
_cell_length_b 7.3093
_cell_length_c 19.5850
_cell_angle_alpha 90.00
_cell_angle_beta 90.00
_cell_angle_gamma 120.00
_symmetry_space_group_name_H-M 'R 3'
_symmetry_Int_Tables_number 146
_symmetry_space_group_name_Hall 'R 3'
loop_
_atom_site_label
_atom_site_fract_x
_atom_site_fract_y
_atom_site_fract_z
_atom_site_occupancy
Tb1 0.0000 0.0000 0.0000 1
Tb2 0.0000 0.0000 0.4971 1
Ce1 0.0000 0.0000 0.2981 1
Y1 0.0000 0.0000 0.8022 1
Se1 0.0270 0.3596 0.0680 1
Se2 0.0438 0.6829 0.5674 1

=====

Number 1: theoretical density 8.114 g/cm³. Number 2: theoretical density 6.759 g/cm³. Number 3: theoretical density 6.919 g/cm³. Number 4: theoretical density 6.503 g/cm³. Number 5: theoretical density 7.035 g/cm³. Number 6: theoretical density 7.635 g/cm³. Number 7: theoretical density 7.766 g/cm³. Number 8: theoretical density 7.840 g/cm³. Number 9: theoretical density 8.221 g/cm³. Number 10: theoretical density 6.113 g/cm³. Number 11: theoretical density 8.181 g/cm³. Number 12: theoretical density 8.283 g/cm³. Number 13: theoretical density 8.017 g/cm³. Number 14: theoretical density 5.986 g/cm³. Number 15: theoretical density 7.694 g/cm³. Number 16: theoretical density 6.940 g/cm³. Number 17: theoretical density 7.242 g/cm³. Number 18: theoretical density 6.665 g/cm³. Number 19: theoretical density 6.756 g/cm³. Number 20: theoretical density 5.611 g/cm³.